1.
NdSm6Y2Tm3 PBE optimized geometry; symmetry = C2/m (12); formation energy from the elements = 17 meV/atom
1.0
6.223 0.000 0.015
-3.110 5.390 0.015
-1.062 -1.839 11.645
Sm Y Nd Tm
6 2 1 3
Cartesian
3.093 1.764 8.713
-1.041 1.788 2.962
2.071 3.586 2.976
-0.018 3.560 8.713
-0.019 -0.034 8.699
2.069 -0.008 2.962
0.002 3.593 0.015
3.111 1.797 0.015
0.000 0.000 0.000
1.026 1.776 5.838
-2.083 3.571 5.838
4.134 -0.019 5.838

2.
Rb2SiAgSb PBE optimized geometry; formation energy from raw total energies = 0.52 eV per atom; symmetry = P4/mmm (123)
1.0
7.111 0.000 0.000
0.000 5.150 0.000
0.000 0.000 7.111
Ag Si Rb Sb
1 1 2 1
Cartesian
0.000 2.575 0.000
3.556 2.575 3.556
3.556 0.000 0.000
0.000 0.000 3.556
0.000 0.000 0.000

3.
CaNb2ReSb PBE optimized geometry; formation energy from raw total energies = 0.80 eV per atom; symmetry = P4/mmm (123)
1.0
-2.353 4.187 -0.665
-3.480 -1.305 4.101
2.946 2.162 3.188
Ca Sb Nb Re
1 1 2 1
Cartesian
-1.740 -0.653 2.051
-1.444 2.522 3.312
1.473 1.081 1.594
-1.177 2.093 -0.332
0.000 0.000 0.000

4.
CsTlHg2Bi PBE optimized geometry; symmetry = P4/mmm (123); formation energy from the elements = -13 meV/atom
1.0
-3.519 -4.447 -2.042
4.689 -3.783 0.159
-1.492 -1.595 6.046
Cs Bi Hg Tl
1 1 2 1
Cartesian
-0.161 -4.913 2.082
0.000 0.000 0.000
2.344 -1.892 0.080
-1.759 -2.223 -1.021
-0.746 -0.798 3.023

5.
LaIn2W PBE optimized geometry; symmetry = P4/mmm (123); formation energy from the elements = 431 meV/atom
1.0
4.414 0.000 0.000
0.000 4.414 0.000
0.000 0.000 4.878
In W La
2 1 1
Cartesian
2.207 2.207 0.000
0.000 0.000 0.000
0.000 2.207 2.439
2.207 0.000 2.439

6.
K4PrEr3Te8 PBE optimized geometry; formation energy from raw total energies = -1.39 eV per atom; symmetry = R-3m (166)
1.0
-1.571 6.021 -6.540
-7.768 -5.157 -2.881
0.283 2.670 8.620
Te K Pr Er
8 4 1 3
Cartesian
-3.434 3.154 -5.526
-5.759 -0.916 0.540
-6.502 2.045 -2.786
-3.297 4.450 -1.342
-2.672 0.232 -2.351
-5.622 0.380 4.723
-2.554 1.488 1.984
-6.385 3.302 1.549
-0.644 4.345 1.040
0.142 1.335 4.310
0.000 0.000 0.000
-0.785 3.010 -3.270
-3.884 -2.579 -1.441
-3.743 -1.244 2.869
-4.528 1.767 -0.401
-4.670 0.432 -4.711

7.
Pm2NCl PBE optimized geometry; formation energy from raw total energies = -1.54 eV per atom; symmetry = R3m (160)
1.0
3.654 0.000 0.000
1.827 3.165 0.000
1.827 1.055 7.037
Pm Cl N
2 1 1
Cartesian
1.827 1.055 5.729
1.827 1.055 1.341
3.654 2.110 3.537
5.481 3.165 6.987

8.
CoBiOs3 PBE optimized geometry; symmetry = Pm-3m (221); formation energy from the elements = 1670 meV/atom
1.0
-3.664 1.334 2.276
-0.347 -4.105 1.847
2.616 1.324 3.434
Bi Os Co
1 3 1
Cartesian
-0.698 -0.724 3.779
-1.832 0.667 1.138
-0.174 -2.053 0.924
1.308 0.662 1.717
0.000 0.000 0.000

9.
Cs4Np3ScS8 PBE optimized geometry; formation energy from raw total energies = -1.42 eV per atom; symmetry = R-3m (166)
1.0
8.174 0.000 0.000
0.000 9.287 0.762
-4.087 -4.072 5.791
S Cs Sc Np
8 4 1 3
Cartesian
0.000 0.747 3.410
4.087 4.468 3.142
4.087 0.716 3.485
6.199 2.820 0.493
0.000 4.499 3.067
1.975 2.820 0.493
-2.112 2.395 6.059
2.112 2.395 6.059
-2.043 -2.036 2.895
0.000 0.000 0.000
2.043 -2.036 2.895
4.087 0.000 0.000
0.000 4.644 0.381
4.087 4.644 0.381
-2.043 2.608 3.276
2.043 2.608 3.276

10.
LaAg2Hg PBE optimized geometry; symmetry = Cmcm (63); formation energy from the elements = -254 meV/atom
1.0
-0.193 -4.595 -1.595
-0.961 -1.103 3.296
-10.135 1.913 -4.287
Hg La Ag
2 2 4
Cartesian
-7.314 -2.527 -2.978
-3.975 -1.258 0.392
-9.113 -0.599 -0.885
-2.176 -3.186 -1.701
-5.574 -3.363 -0.778
-5.715 -0.422 -1.807
-1.190 -1.616 1.085
-10.099 -2.169 -3.670

11.
LiYCo2 PBE optimized geometry; symmetry = Imm2 (44); formation energy from the elements = 102 meV/atom
1.0
4.781 -0.149 0.009
1.166 4.639 -0.009
-2.653 -2.670 2.952
Li Co Y
1 2 1
Cartesian
3.117 2.353 0.000
2.808 -0.093 1.481
5.637 4.256 0.000
0.653 2.039 1.472

12.
LaYZn2Si PBE optimized geometry; formation energy from raw total energies = 0.26 eV per atom; symmetry = P4/mmm (123)
1.0
-4.358 -1.405 -2.461
-1.853 -2.072 4.464
-2.163 4.567 1.222
Zn La Y Si
2 1 1 1
Cartesian
-1.081 2.283 0.611
-2.179 -0.703 -1.231
-4.187 0.545 1.612
0.000 0.000 0.000
-0.926 -1.036 2.232